Compound: Pu2VF8
Source: Alexandria
Functional: PBE with a Hubbard U
Structure: relaxed

Output
The electronic total energy is -86.80 eV per cell.

The structure in POSCAR format:
```
Pu2VF8
1.0
8.060 -1.811 0.000
8.060 1.811 0.000
-0.297 0.000 5.747
Pu V F
2 1 8
direct
0.151 0.151 0.144 Pu
0.849 0.849 0.856 Pu
0.500 0.500 0.500 V
0.013 0.013 0.285 F
0.243 0.243 0.826 F
0.372 0.372 0.574 F
0.399 0.399 0.062 F
0.601 0.601 0.938 F
0.628 0.628 0.426 F
0.757 0.757 0.174 F
0.987 0.987 0.715 F
```